A relaxed Ce2NO crystal. Source: Alexandria via LeMat-Bulk, functional PBE-GGA.

Its density of states at the Fermi level is 1.437 states/eV/atom. Its electronic total energy is -8.385 eV per atom. As for the space group: P6_3/mmc, No. 194. The theoretical density comes out at 8.1 g/cm3. The crystal system is hexagonal. The uncorrected formation energy comes out at -2097 meV per atom.

Unit cell a=3.5016 b=3.5016 c=12.0498 alpha=90.00 beta=90.00 gamma=120.00
Site moments in Bohr magnetons follow the coordinates.
Sites, in units of the cell vectors:
Ce (0.3333, 0.6667, 0.3829)  0.22
Ce (0.3333, 0.6667, 0.1171)  0.22
Ce (0.6667, 0.3333, 0.8829)  0.22
Ce (0.6667, 0.3333, 0.6171)  0.22
O (0.6667, 0.3333, 0.2500)  -0.01
O (0.3333, 0.6667, 0.7500)  -0.01
N (0.0000, 0.0000, 0.0000)  -0.01
N (0.0000, 0.0000, 0.5000)  -0.01